1.
VASP calculation (PBE) on crystalline NbTeO2 at its relaxed geometry.

## Properties
uncorrected formation energy = -1.48 eV per atom
E = -7.266 eV per atom
magnetization = 0.533 μB/f.u.

Geometry as CIF:
```
data_NbTeO2
_cell_length_a 3.0884
_cell_length_b 3.0884
_cell_length_c 26.4206
_cell_angle_alpha 90.00
_cell_angle_beta 90.00
_cell_angle_gamma 120.00
_space_group_name_H-M_alt 'R -3 m'
_space_group_IT_number 166
_space_group_name_Hall '-R 3 2"'
loop_
_atom_site_label
_atom_site_fract_x
_atom_site_fract_y
_atom_site_fract_z
_atom_site_occupancy
Nb1 0.0000 0.0000 0.0000 1
Te1 0.0000 0.0000 0.5000 1
O1 0.0000 0.0000 0.3753 1
```

2.
VASP calculation (PBE) on crystalline NbTe3O at its relaxed geometry.

## Properties
uncorrected formation energy = 0.33 eV per atom
E = -4.559 eV per atom
magnetization = 1.981 μB/f.u.

Geometry as CIF:
```
data_NbTe3O
_cell_length_a 4.775
_cell_length_b 4.775
_cell_length_c 4.775
_cell_angle_alpha 90.00
_cell_angle_beta 90.00
_cell_angle_gamma 90.00
_space_group_name_H-M_alt 'P m -3 m'
_space_group_IT_number 221
_space_group_name_Hall '-P 4 2 3'
loop_
_atom_site_label
_atom_site_fract_x
_atom_site_fract_y
_atom_site_fract_z
_atom_site_occupancy
Nb1 0.000 0.000 0.000 1
Te1 0.000 0.500 0.500 1
O1 0.500 0.500 0.500 1
```

3.
VASP calculation (PBE) on crystalline NbTe2O6 at its relaxed geometry.

## Properties
uncorrected formation energy = -1.40 eV per atom
E = -6.525 eV per atom
magnetization = 0.000 μB/f.u.

Geometry as CIF:
```
data_NbTe2O6
_cell_length_a 3.262
_cell_length_b 4.949
_cell_length_c 9.851
_cell_angle_alpha 83.97
_cell_angle_beta 82.28
_cell_angle_gamma 73.53
_space_group_name_H-M_alt 'P 1'
_space_group_IT_number 1
_space_group_name_Hall 'P 1'
loop_
_atom_site_label
_atom_site_fract_x
_atom_site_fract_y
_atom_site_fract_z
_atom_site_occupancy
Nb1 0.000 0.000 0.000 1
Te1 0.156 0.518 0.338 1
Te2 0.976 0.558 0.713 1
O1 0.094 0.193 0.802 1
O2 0.099 0.797 0.175 1
O3 0.140 0.367 0.534 1
O4 0.443 0.214 0.046 1
O5 0.544 0.731 0.389 1
O6 0.805 0.732 0.918 1
```

4.
VASP calculation (PBE) on crystalline NbTe3O at its relaxed geometry.

## Properties
uncorrected formation energy = 0.64 eV per atom
E = -4.246 eV per atom
magnetization = 0.000 μB/f.u.

Geometry as CIF:
```
data_NbTe3O
_cell_length_a 5.310
_cell_length_b 5.310
_cell_length_c 5.310
_cell_angle_alpha 90.00
_cell_angle_beta 90.00
_cell_angle_gamma 90.00
_space_group_name_H-M_alt 'P m -3 m'
_space_group_IT_number 221
_space_group_name_Hall '-P 4 2 3'
loop_
_atom_site_label
_atom_site_fract_x
_atom_site_fract_y
_atom_site_fract_z
_atom_site_occupancy
Nb1 0.000 0.000 0.000 1
Te1 0.000 0.000 0.500 1
O1 0.500 0.500 0.500 1
```